Computed, not measured: a geometry-optimized Sb2PAu structure at the GGA-PBEsol level of DFT.

a = 11.761 Å, b = 3.849 Å, c = 4.155 Å
α = 90.00°, β = 109.41°, γ = 90.00°
Space group Cm (No. 8)
Unique sites:
1 Sb 0.000 0.000 0.000 x2
2 Sb 0.229 0.500 0.675 x2
3 P 0.472 0.000 0.393 x2
4 Au 0.248 0.000 0.195 x2

Results
Magnetization: 0.000 Bohr magnetons per cell
ΔE_f (raw): -0.009 eV per atom
E: -37.73 eV for the cell shown

***

Computed, not measured: a geometry-optimized Li2TiV3O8 structure at the GGA-PBEsol level of DFT.

a = 9.911 Å, b = 5.769 Å, c = 5.892 Å
α = 90.00°, β = 123.34°, γ = 90.00°
Space group C2/m (No. 12)
Unique sites:
1 Li 0.250 0.250 0.000 x4
2 Ti 0.000 0.000 0.500 x2
3 V 0.000 0.500 0.500 x2
4 V 0.250 0.250 0.500 x4
5 O 0.012 0.252 0.289 x8
6 O 0.237 0.000 0.721 x4
7 O 0.237 0.500 0.720 x4

Results
Magnetization: 9.991 Bohr magnetons per cell
Energy relative to the lowest polymorph listed for this composition: 71 meV/atom
ΔE_f (raw): -2.417 eV per atom
E: -233.99 eV for the cell shown

***

Computed, not measured: a geometry-optimized BaBeO3 structure at the GGA-PBEsol level of DFT.

a = 3.832 Å, b = 3.832 Å, c = 3.832 Å
α = 90.00°, β = 90.00°, γ = 90.00°
Space group Pm-3m (No. 221)
Unique sites:
1 Ba 0.000 0.000 0.000 x1
2 Be 0.500 0.500 0.500 x1
3 O 0.000 0.500 0.500 x3

Results
Magnetization: 2.007 Bohr magnetons per cell
ΔE_f (raw): -1.665 eV per atom
E: -30.22 eV for the cell shown

***

Computed, not measured: a geometry-optimized RbZnS2Cl structure at the GGA-PBEsol level of DFT.

a = 6.112 Å, b = 6.112 Å, c = 5.920 Å
α = 90.00°, β = 90.00°, γ = 90.00°
Space group P4/mmm (No. 123)
Unique sites:
1 Rb 0.000 0.000 0.000 x1
2 Zn 0.500 0.500 0.500 x1
3 S 0.000 0.500 0.000 x2
4 Cl 0.000 0.000 0.500 x1

Results
Magnetization: 4.037 Bohr magnetons per cell
ΔE_f (raw): 0.874 eV per atom
E: -9.01 eV for the cell shown

***

Computed, not measured: a geometry-optimized Cu2SbOs structure at the GGA-PBEsol level of DFT.

a = 3.250 Å, b = 3.250 Å, c = 5.525 Å
α = 90.00°, β = 90.00°, γ = 90.00°
Space group P4mm (No. 99)
Unique sites:
1 Cu 0.000 0.000 0.000 x1
2 Cu 0.500 0.500 0.192 x1
3 Sb 0.500 0.500 0.712 x1
4 Os 0.000 0.000 0.464 x1

Results
Magnetization: 0.000 Bohr magnetons per cell
ΔE_f (raw): 0.307 eV per atom
E: -24.21 eV for the cell shown

***

Computed, not measured: a geometry-optimized CuIr2Cl structure at the GGA-PBEsol level of DFT.

a = 2.799 Å, b = 4.369 Å, c = 4.653 Å
α = 90.00°, β = 92.29°, γ = 90.00°
Space group P2/m (No. 10)
Unique sites:
1 Cu 0.000 0.000 0.000 x1
2 Ir 0.268 0.500 0.242 x2
3 Cl 0.500 0.000 0.500 x1

Results
Magnetization: 0.000 Bohr magnetons per cell
Energy relative to the lowest polymorph listed for this composition: 219 meV/atom
ΔE_f (raw): 0.656 eV per atom
E: -23.37 eV for the cell shown

***

Computed, not measured: a geometry-optimized BaH3Pd structure at the GGA-PBEsol level of DFT.

a = 3.925 Å, b = 3.925 Å, c = 3.925 Å
α = 90.00°, β = 90.00°, γ = 90.00°
Space group Pm-3m (No. 221)
Unique sites:
1 Ba 0.000 0.000 0.000 x1
2 H 0.000 0.500 0.500 x3
3 Pd 0.500 0.500 0.500 x1

Results
Magnetization: 0.000 Bohr magnetons per cell
E: -20.54 eV for the cell shown

***

Computed, not measured: a geometry-optimized LiMn5O3F5 structure at the GGA-PBEsol level of DFT.

a = 6.2990 Å, b = 6.2990 Å, c = 15.3475 Å
α = 90.00°, β = 90.00°, γ = 120.00°
Space group R3m (No. 160, hexagonal axes)
Unique sites:
1 Li 0.0000 0.0000 0.0000 x3
2 Mn 0.0000 0.0000 0.2283 x3
3 Mn 0.0000 0.0000 0.6134 x3
4 Mn 0.0067 0.5033 0.1271 x9
5 O 0.1790 0.3579 0.1976 x9
6 F 0.0000 0.0000 0.3695 x3
7 F 0.0000 0.0000 0.8709 x3
8 F 0.0230 0.5115 0.3749 x9

Results
Magnetization: 75.001 Bohr magnetons per cell
Energy relative to the lowest polymorph listed for this composition: 3 meV/atom
ΔE_f (raw): -1.786 eV per atom
E: -303.49 eV for the cell shown

***

Computed, not measured: a geometry-optimized TiTlIN2 structure at the GGA-PBEsol level of DFT.

a = 4.181 Å, b = 4.181 Å, c = 6.096 Å
α = 90.00°, β = 90.00°, γ = 90.00°
Space group P4/mmm (No. 123)
Unique sites:
1 Ti 0.000 0.000 0.000 x1
2 Tl 0.500 0.500 0.500 x1
3 I 0.500 0.500 0.000 x1
4 N 0.000 0.500 0.500 x2

Results
Magnetization: 2.627 Bohr magnetons per cell
Energy relative to the lowest polymorph listed for this composition: 1449 meV/atom
ΔE_f (raw): 1.790 eV per atom
E: -20.82 eV for the cell shown

***

Computed, not measured: a geometry-optimized ZnP3Os structure at the GGA-PBEsol level of DFT.

a = 4.580 Å, b = 4.580 Å, c = 4.580 Å
α = 90.00°, β = 90.00°, γ = 90.00°
Space group Pm-3m (No. 221)
Unique sites:
1 Zn 0.000 0.000 0.000 x1
2 P 0.000 0.500 0.500 x3
3 Os 0.500 0.500 0.500 x1

Results
Magnetization: 0.000 Bohr magnetons per cell
Formation enthalpy at 0 K: 0.792 eV per atom
E: -27.21 eV for the cell shown

***

Computed, not measured: a geometry-optimized MnReW structure at the GGA-PBEsol level of DFT.

a = 4.3048 Å, b = 4.3048 Å, c = 2.6286 Å
α = 90.00°, β = 90.00°, γ = 120.00°
Space group P3m1 (No. 156)
Unique sites:
1 Mn 0.0000 0.0000 0.0000 x1
2 Re 0.3333 0.6667 0.3582 x1
3 W 0.6667 0.3333 0.6862 x1

Results
Magnetization: 2.280 Bohr magnetons per cell
Energy relative to the lowest polymorph listed for this composition: 0 meV/atom
Formation enthalpy at 0 K: 0.127 eV per atom
E: -36.52 eV for the cell shown

***

Computed, not measured: a geometry-optimized CeI2O6 structure at the GGA-PBEsol level of DFT.

a = 6.890 Å, b = 11.281 Å, c = 8.716 Å
α = 90.00°, β = 127.29°, γ = 90.00°
Space group P2_1/c (No. 14)
Unique sites:
1 Ce 0.220 0.065 0.220 x4
2 I 0.200 0.104 0.677 x4
3 I 0.302 0.740 0.337 x4
4 O 0.059 0.078 0.416 x4
5 O 0.062 0.727 0.383 x4
6 O 0.068 0.056 0.913 x4
7 O 0.371 0.240 0.698 x4
8 O 0.410 0.607 0.952 x4
9 O 0.454 0.501 0.282 x4

Results
Magnetization: 0.000 Bohr magnetons per cell
ΔE_f (raw): -1.280 eV per atom
E: -212.58 eV for the cell shown

***

Computed, not measured: a geometry-optimized In5Bi3S12 structure at the GGA-PBEsol level of DFT.

a = 32.851 Å, b = 3.862 Å, c = 14.239 Å
α = 90.00°, β = 90.65°, γ = 90.00°
Space group C2/m (No. 12)
Unique sites:
1 In 0.000 0.000 0.000 x2
2 In 0.000 0.000 0.500 x2
3 In 0.071 0.000 0.222 x4
4 In 0.098 0.500 0.996 x4
5 In 0.175 0.500 0.715 x4
6 In 0.217 0.000 0.916 x4
7 Bi 0.054 0.500 0.715 x4
8 Bi 0.132 0.000 0.482 x4
9 Bi 0.181 0.500 0.230 x4
10 S 0.005 0.000 0.317 x4
11 S 0.034 0.500 0.106 x4
12 S 0.054 0.500 0.527 x4
13 S 0.062 0.000 0.898 x4
14 S 0.105 0.500 0.314 x4
15 S 0.115 0.000 0.682 x4
16 S 0.127 0.000 0.104 x4
17 S 0.162 0.500 0.895 x4
18 S 0.182 0.500 0.536 x4
19 S 0.195 0.000 0.352 x4
20 S 0.224 0.000 0.736 x4
21 S 0.227 0.000 0.091 x4

Results
Magnetization: 0.000 Bohr magnetons per cell
ΔE_f (raw): -0.511 eV per atom
E: -362.43 eV for the cell shown

***

Computed, not measured: a geometry-optimized ZrMnNbCd2 structure at the GGA-PBEsol level of DFT.

a = 5.195 Å, b = 5.195 Å, c = 4.255 Å
α = 90.00°, β = 90.00°, γ = 90.00°
Space group P4/mmm (No. 123)
Unique sites:
1 Zr 0.000 0.000 0.000 x1
2 Mn 0.000 0.000 0.500 x1
3 Nb 0.500 0.500 0.500 x1
4 Cd 0.000 0.500 0.000 x2

Results
Magnetization: 2.058 Bohr magnetons per cell
Formation enthalpy at 0 K: 1.610 eV per atom
E: -24.02 eV for the cell shown

***

Computed, not measured: a geometry-optimized HfP2S6 structure at the GGA-PBEsol level of DFT.

a = 7.828 Å, b = 11.411 Å, c = 21.539 Å
α = 90.00°, β = 90.00°, γ = 90.00°
Space group Fdd2 (No. 43)
Unique sites:
1 Hf 0.000 0.000 0.000 x8
2 P 0.110 0.437 0.337 x16
3 S 0.010 0.274 0.328 x16
4 S 0.016 0.280 0.515 x16
5 S 0.021 0.224 0.169 x16

Results
Magnetization: 0.001 Bohr magnetons per cell
ΔE_f (raw): -0.677 eV per atom
E: -435.85 eV for the cell shown

***

Computed, not measured: a geometry-optimized TaSn3O structure at the GGA-PBEsol level of DFT.

a = 5.288 Å, b = 5.288 Å, c = 5.288 Å
α = 90.00°, β = 90.00°, γ = 90.00°
Space group Pm-3m (No. 221)
Unique sites:
1 Ta 0.000 0.000 0.000 x1
2 Sn 0.000 0.000 0.500 x3
3 O 0.500 0.500 0.500 x1

Results
Magnetization: 1.675 Bohr magnetons per cell
ΔE_f (raw): 0.821 eV per atom
E: -26.47 eV for the cell shown

***

Computed, not measured: a geometry-optimized Li2LaPd2 structure at the GGA-PBEsol level of DFT.

a = 3.853 Å, b = 3.853 Å, c = 12.794 Å
α = 90.00°, β = 90.00°, γ = 90.00°
Space group I4/mmm (No. 139)
Unique sites:
1 Li 0.000 0.500 0.250 x4
2 La 0.000 0.000 0.000 x2
3 Pd 0.000 0.000 0.394 x4

Results
Magnetization: 0.000 Bohr magnetons per cell
Formation enthalpy at 0 K: -0.503 eV per atom
E: -47.42 eV for the cell shown

***

Computed, not measured: a geometry-optimized CdHg2Pb structure at the GGA-PBEsol level of DFT.

a = 4.621 Å, b = 4.621 Å, c = 8.991 Å
α = 90.00°, β = 90.00°, γ = 90.00°
Space group I4/mmm (No. 139)
Unique sites:
1 Cd 0.000 0.000 0.000 x2
2 Hg 0.000 0.500 0.250 x4
3 Pb 0.000 0.000 0.500 x2

Results
Magnetization: 0.000 Bohr magnetons per cell
Formation enthalpy at 0 K: 0.034 eV per atom
E: -12.39 eV for the cell shown

***

Computed, not measured: a geometry-optimized LiCuAuBr2 structure at the GGA-PBEsol level of DFT.

a = 5.250 Å, b = 5.250 Å, c = 4.763 Å
α = 90.00°, β = 90.00°, γ = 90.00°
Space group P4/mmm (No. 123)
Unique sites:
1 Li 0.000 0.000 0.000 x1
2 Cu 0.500 0.500 0.000 x1
3 Au 0.000 0.000 0.500 x1
4 Br 0.000 0.500 0.500 x2

Results
Magnetization: 0.002 Bohr magnetons per cell
ΔE_f (raw): 0.369 eV per atom
E: -12.12 eV for the cell shown

***

Computed, not measured: a geometry-optimized TaTl2Cl structure at the GGA-PBEsol level of DFT.

a = 2.993 Å, b = 4.236 Å, c = 14.547 Å
α = 90.00°, β = 90.00°, γ = 90.00°
Space group Immm (No. 71)
Unique sites:
1 Ta 0.000 0.000 0.000 x2
2 Tl 0.000 0.500 0.317 x4
3 Cl 0.000 0.000 0.500 x2

Results
Magnetization: 0.017 Bohr magnetons per cell
Energy relative to the lowest polymorph listed for this composition: 295 meV/atom
ΔE_f (raw): 0.297 eV per atom
E: -37.26 eV for the cell shown

***

Computed, not measured: a geometry-optimized La4YTl structure at the GGA-PBEsol level of DFT.

a = 9.196 Å, b = 9.196 Å, c = 9.196 Å
α = 90.00°, β = 90.00°, γ = 90.00°
Space group F-43m (No. 216)
Unique sites:
1 La 0.124 0.124 0.376 x16
2 Y 0.000 0.000 0.000 x4
3 Tl 0.250 0.250 0.750 x4

Results
Magnetization: 0.001 Bohr magnetons per cell
Formation enthalpy at 0 K: 0.171 eV per atom
E: -119.25 eV for the cell shown

***

Computed, not measured: a geometry-optimized TiNbBi2 structure at the GGA-PBEsol level of DFT.

a = 7.721 Å, b = 7.721 Å, c = 6.301 Å
α = 90.00°, β = 90.00°, γ = 90.00°
Space group I-42d (No. 122)
Unique sites:
1 Ti 0.000 0.000 0.000 x4
2 Nb 0.000 0.000 0.500 x4
3 Bi 0.244 0.750 0.125 x8

Results
Magnetization: 0.435 Bohr magnetons per cell
Formation enthalpy at 0 K: 0.565 eV per atom
E: -101.81 eV for the cell shown

***

Computed, not measured: a geometry-optimized ZrTeAs structure at the GGA-PBEsol level of DFT.

a = 6.621 Å, b = 6.621 Å, c = 6.621 Å
α = 90.00°, β = 90.00°, γ = 90.00°
Space group F-43m (No. 216)
Unique sites:
1 Zr 0.000 0.000 0.000 x4
2 Te 0.000 0.000 0.500 x4
3 As 0.250 0.250 0.250 x4

Results
Magnetization: 0.011 Bohr magnetons per cell
ΔE_f (raw): -0.056 eV per atom
E: -71.56 eV for the cell shown

***

Computed, not measured: a geometry-optimized CsSr3Ca structure at the GGA-PBEsol level of DFT.

a = 6.473 Å, b = 6.473 Å, c = 6.473 Å
α = 90.00°, β = 90.00°, γ = 90.00°
Space group Pm-3m (No. 221)
Unique sites:
1 Cs 0.000 0.000 0.000 x1
2 Sr 0.000 0.000 0.500 x3
3 Ca 0.500 0.500 0.500 x1

Results
Magnetization: 2.888 Bohr magnetons per cell
Formation enthalpy at 0 K: 0.707 eV per atom
E: -5.06 eV for the cell shown